First-principles (PBE) data for crystalline ErSnPd2 at its relaxed geometry, as listed in the Open Quantum Materials Database.

Results
Electronic total energy   -5.5348 eV/atom
ρ   10.408 Mg/m³
Total magnetization   0.000 μB/atom
Space-group type   Pmn2_1

a b c (Å): 4.249 6.217 6.025
angles (deg): 90.00 90.00 90.00
Positions (direct):
Er  0.000  0.077  0.000
Er  0.500  0.923  0.500
Sn  0.000  0.598  0.750
Sn  0.500  0.402  0.250
Pd  0.000  0.234  0.478
Pd  0.000  0.690  0.284
Pd  0.500  0.310  0.784
Pd  0.500  0.766  0.978